Record 1
# NiPPd

An optimized crystal structure of NiPPd (PBE-GGA, the Alexandria database).

Properties
Its volume is 14.003 Å³/atom. Its total energy is -5.69 eV/atom. The calculation puts the density at 7.8 g cm⁻³. The value obtained for the energy of formation from the pure elements is -0.23 eV/atom.

```
data_NiPPd
_chemical_formula_sum 'Ni4 P4 Pd4'
_space_group_name_H-M_alt 'P 1'
_space_group_IT_number 1
_cell_length_a 5.985
_cell_length_b 5.500
_cell_length_c 5.328
_cell_angle_alpha 90.00
_cell_angle_beta 106.66
_cell_angle_gamma 90.00
loop_
_space_group_symop_operation_xyz
'x,y,z'
loop_
_atom_site_label
_atom_site_type_symbol
_atom_site_fract_x
_atom_site_fract_y
_atom_site_fract_z
Ni1 Ni 0.188 0.211 0.430
Ni2 Ni 0.188 0.289 0.930
Ni3 Ni 0.812 0.711 0.070
Ni4 Ni 0.812 0.789 0.570
P1 P 0.111 0.677 0.896
P2 P 0.111 0.823 0.396
P3 P 0.889 0.177 0.604
P4 P 0.889 0.323 0.104
Pd1 Pd 0.416 0.616 0.693
Pd2 Pd 0.416 0.884 0.193
Pd3 Pd 0.584 0.116 0.807
Pd4 Pd 0.584 0.384 0.307
```

=====

Record 2
# Pm4MgN

An optimized crystal structure of Pm4MgN (PBE-GGA, the Alexandria database).

Properties
The value obtained for the uncorrected formation energy is -0.082 eV per atom. Its volume is 30.527 Å³/atom. Its total energy is -4.90 eV/atom. The calculation puts the density at 5.6 g cm⁻³.

```
data_Pm4MgN
_chemical_formula_sum 'Pm4 Mg1 N1'
_space_group_name_H-M_alt 'P 1'
_space_group_IT_number 1
_cell_length_a 4.825
_cell_length_b 4.825
_cell_length_c 7.867
_cell_angle_alpha 90.00
_cell_angle_beta 90.00
_cell_angle_gamma 90.00
loop_
_space_group_symop_operation_xyz
'x,y,z'
loop_
_atom_site_label
_atom_site_type_symbol
_atom_site_fract_x
_atom_site_fract_y
_atom_site_fract_z
Pm1 Pm 0.000 0.000 0.192
Pm2 Pm 0.000 0.000 0.808
Pm3 Pm 0.000 0.500 0.500
Pm4 Pm 0.500 0.000 0.500
Mg1 Mg 0.500 0.500 0.000
N1 N 0.000 0.000 0.500
```

=====

Record 3
# Ho5ScTl4

An optimized crystal structure of Ho5ScTl4 (PBE-GGA, the Alexandria database).

Properties
Its volume is 27.288 Å³/atom. Its total energy is -4.13 eV/atom. The calculation puts the density at 10.3 g cm⁻³. The value obtained for the energy of formation from the pure elements is -0.26 eV/atom.

```
data_Ho5ScTl4
_chemical_formula_sum 'Ho5 Sc1 Tl4'
_space_group_name_H-M_alt 'P 1'
_space_group_IT_number 1
_cell_length_a 3.617
_cell_length_b 3.617
_cell_length_c 20.852
_cell_angle_alpha 90.00
_cell_angle_beta 90.00
_cell_angle_gamma 90.00
loop_
_space_group_symop_operation_xyz
'x,y,z'
loop_
_atom_site_label
_atom_site_type_symbol
_atom_site_fract_x
_atom_site_fract_y
_atom_site_fract_z
Ho1 Ho 0.000 0.000 0.000
Ho2 Ho 0.000 0.000 0.199
Ho3 Ho 0.000 0.000 0.397
Ho4 Ho 0.000 0.000 0.603
Ho5 Ho 0.000 0.000 0.801
Sc1 Sc 0.500 0.500 0.500
Tl1 Tl 0.500 0.500 0.100
Tl2 Tl 0.500 0.500 0.298
Tl3 Tl 0.500 0.500 0.702
Tl4 Tl 0.500 0.500 0.900
```

=====

Record 4
# SrZrAg

An optimized crystal structure of SrZrAg (PBE-GGA, the Alexandria database).

Properties
Its volume is 31.183 Å³/atom. The energy above the most stable polymorph in this dataset comes out at 394 meV/atom. Its total energy is -3.78 eV/atom. The calculation puts the density at 5.1 g cm⁻³. The value obtained for the energy of formation from the pure elements is 0.58 eV/atom.

```
data_SrZrAg
_chemical_formula_sum 'Sr4 Zr4 Ag4'
_space_group_name_H-M_alt 'P 1'
_space_group_IT_number 1
_cell_length_a 7.206
_cell_length_b 7.206
_cell_length_c 7.206
_cell_angle_alpha 90.00
_cell_angle_beta 90.00
_cell_angle_gamma 90.00
loop_
_space_group_symop_operation_xyz
'x,y,z'
loop_
_atom_site_label
_atom_site_type_symbol
_atom_site_fract_x
_atom_site_fract_y
_atom_site_fract_z
Sr1 Sr 0.000 0.000 0.000
Sr2 Sr 0.000 0.500 0.500
Sr3 Sr 0.500 0.000 0.500
Sr4 Sr 0.500 0.500 0.000
Zr1 Zr 0.000 0.000 0.500
Zr2 Zr 0.000 0.500 0.000
Zr3 Zr 0.500 0.000 0.000
Zr4 Zr 0.500 0.500 0.500
Ag1 Ag 0.250 0.250 0.250
Ag2 Ag 0.250 0.750 0.750
Ag3 Ag 0.750 0.250 0.750
Ag4 Ag 0.750 0.750 0.250
```

=====

Record 5
# K3SiBi

An optimized crystal structure of K3SiBi (PBE-GGA, the Alexandria database).

Properties
The value obtained for the uncorrected formation energy is 0.422 eV per atom. Its volume is 51.639 Å³/atom. The energy above the most stable polymorph in this dataset comes out at 0 meV/atom. Its total energy is -2.10 eV/atom. The calculation puts the density at 2.3 g cm⁻³.

```
data_K3SiBi
_chemical_formula_sum 'K3 Si1 Bi1'
_space_group_name_H-M_alt 'P 1'
_space_group_IT_number 1
_cell_length_a 6.368
_cell_length_b 6.368
_cell_length_c 6.368
_cell_angle_alpha 90.00
_cell_angle_beta 90.00
_cell_angle_gamma 90.00
loop_
_space_group_symop_operation_xyz
'x,y,z'
loop_
_atom_site_label
_atom_site_type_symbol
_atom_site_fract_x
_atom_site_fract_y
_atom_site_fract_z
K1 K 0.000 0.000 0.500
K2 K 0.000 0.500 0.000
K3 K 0.500 0.000 0.000
Si1 Si 0.000 0.000 0.000
Bi1 Bi 0.500 0.500 0.500
```

=====

Record 6
# AgRuRh2

An optimized crystal structure of AgRuRh2 (PBE-GGA, the Alexandria database).

Properties
Its volume is 14.979 Å³/atom. The energy above the most stable polymorph in this dataset comes out at 92 meV/atom. Its total energy is -6.49 eV/atom. The calculation puts the density at 11.5 g cm⁻³. The value obtained for the energy of formation from the pure elements is 0.22 eV/atom.

```
data_AgRuRh2
_chemical_formula_sum 'Ag3 Ru3 Rh6'
_space_group_name_H-M_alt 'P 1'
_space_group_IT_number 1
_cell_length_a 2.753
_cell_length_b 2.753
_cell_length_c 27.387
_cell_angle_alpha 90.00
_cell_angle_beta 90.00
_cell_angle_gamma 120.00
loop_
_space_group_symop_operation_xyz
'x,y,z'
loop_
_atom_site_label
_atom_site_type_symbol
_atom_site_fract_x
_atom_site_fract_y
_atom_site_fract_z
Ag1 Ag 0.000 0.000 0.000
Ag2 Ag 0.333 0.667 0.667
Ag3 Ag 0.667 0.333 0.333
Ru1 Ru 0.000 0.000 0.245
Ru2 Ru 0.333 0.667 0.911
Ru3 Ru 0.667 0.333 0.578
Rh1 Rh 0.000 0.000 0.502
Rh2 Rh 0.000 0.000 0.754
Rh3 Rh 0.333 0.667 0.168
Rh4 Rh 0.333 0.667 0.421
Rh5 Rh 0.667 0.333 0.087
Rh6 Rh 0.667 0.333 0.835
```